Below is La2PaFe2N6 after structural relaxation, with properties calculated at the PBE-GGA level.

POSCAR file:
```
La2PaFe2N6
1.0
2.8639 1.6535 5.8447
-2.8639 1.6535 5.8447
0.0000 -3.3070 5.8447
La Pa Fe N
2 1 2 6
Direct
0.2104 0.2104 0.2104 La
0.7896 0.7896 0.7896 La
0.0000 0.0000 0.0000 Pa
0.4090 0.4090 0.4090 Fe
0.5910 0.5910 0.5910 Fe
0.2302 0.7478 0.7478 N
0.2522 0.2522 0.7698 N
0.2522 0.7698 0.2522 N
0.7478 0.2302 0.7478 N
0.7478 0.7478 0.2302 N
0.7698 0.2522 0.2522 N
```

The calculation puts the energy relative to the elements, uncorrected at -784 meV/atom. The total magnetic moment is 4.9 Bohr magnetons per cell. The value obtained for the density of states at the Fermi level is 2.93 states/eV/f.u.